Below is a relaxed structure of Pm2TiMn2N6, with properties calculated at the PBE level.

Output
Calculated volume (Å³ per cell): 429.2
Raw total energy (eV per atom): -8.522
E_form (uncorrected) (eV/atom): -0.7327
ρ (kg/m³): 6173

Cell: 5.6438 5.6438 15.5585 Å, 90.00 90.00 120.00°
With the nearest neighbours (Å) after each atom.
Space group R-3m (No. 166, hexagonal axes)
Asymmetric unit:
Pm: 0.0000 0.0000 0.2191 x6  9 N 2.65-2.87
Ti: 0.0000 0.0000 0.0000 x3  6 N 2.02
Mn: 0.0000 0.0000 0.4359 x6  3 N 1.72
N: 0.0124 0.5062 0.7488 x18  1 Mn 1.72